Below is a geometry-optimized DyTlCdO3 structure, with properties calculated at the GGA-PBE level.

Cell lengths 7.0468, 7.0468, 8.7399 Å; angles 90.00, 90.00, 28.81 degrees
Last column: nearest neighbours and their distance in Å.
Fractional positions:
Dy  0.0000  0.0000  0.0000  6 O 2.27-2.28
Tl  0.6620  0.6620  0.2500  4 O 2.35-2.57
O  0.6042  0.6042  0.5300  1 Cd 2.10, 2 Dy 2.27
O  0.9524  0.9524  0.7500  2 Dy 2.28, 2 Tl 2.35
O  0.0476  0.0476  0.2500  2 Dy 2.28, 2 Tl 2.35
O  0.3958  0.3958  0.0300  1 Cd 2.10, 2 Dy 2.27
Dy  0.0000  0.0000  0.5000  6 O 2.27-2.28
Cd  0.3342  0.3342  0.2500  2 O 2.10
Tl  0.3380  0.3380  0.7500  4 O 2.35-2.57
O  0.6042  0.6042  0.9700  1 Cd 2.10, 2 Dy 2.27
Cd  0.6658  0.6658  0.7500  2 O 2.10
O  0.3958  0.3958  0.4700  1 Cd 2.10, 2 Dy 2.27

Computed properties:
**ρ**: 8.4 g/cm3
**DFT total energy**: -67.62 eV for the cell shown